Version 1
This record from the Alexandria database describes a geometry-optimized TaCoF2 structure. The functional is PBE with a Hubbard U.

Structure (POSCAR):
```
TaCoF2
1.0
0.675 -3.885 -0.742
-3.012 -2.641 0.239
-1.457 -1.689 -3.336
F Co Ta
2 1 1
direct
0.750 0.750 0.750
0.250 0.250 0.250
0.000 0.000 0.000
0.500 0.500 0.500
```

Results
space group	Fm-3m (225)
calculated density	10.10	g cm⁻³

=====

Version 2
This record from the Alexandria database describes a geometry-optimized TaCoF2 structure. The functional is PBE with a Hubbard U.

Structure (POSCAR):
```
TaCoF2
1.0
1.605 0.000 9.264
-0.802 1.390 9.264
-0.802 -1.390 9.264
Ta F Co
1 2 1
direct
0.500 0.500 0.500
0.889 0.889 0.889
0.111 0.111 0.111
0.000 0.000 0.000
```

Results
space group	R-3m (166)
calculated density	7.44	g cm⁻³

=====

Version 3
This record from the Alexandria database describes a geometry-optimized TaCoF2 structure. The functional is PBE with a Hubbard U.

Structure (POSCAR):
```
TaCoF2
1.0
0.878 -7.289 1.125
3.043 -6.741 -0.683
3.367 -6.267 2.132
Co F Ta
1 2 1
direct
0.500 0.500 0.500
0.902 0.902 0.902
0.098 0.098 0.098
0.000 0.000 0.000
```

Results
space group	R-3m (166)
calculated density	8.92	g cm⁻³

=====

Pick version 3: it beats the second-best structure by 0.042 eV/atom.

=====

Version 1
This record from the Alexandria database describes a geometry-optimized Ta2Co2F structure. The functional is PBE with a Hubbard U.

Structure (POSCAR):
```
Ta2Co2F
1.0
4.222 0.000 0.000
0.000 4.222 0.000
2.111 2.111 4.504
F Co Ta
1 2 2
direct
0.000 0.000 0.000
0.382 0.382 0.237
0.618 0.618 0.763
0.750 0.250 0.500
0.250 0.750 0.500
```

Results
space group	I4/mmm (139)
calculated density	10.32	g cm⁻³

=====

Version 2
This record from the Alexandria database describes a geometry-optimized Ta2Co2F structure. The functional is PBE with a Hubbard U.

Structure (POSCAR):
```
Ta2Co2F
1.0
-4.199 3.996 4.110
-4.527 -5.437 0.661
1.431 -0.907 2.344
Co Ta F
4 4 2
direct
0.133 0.367 0.000
0.633 0.133 0.000
0.867 0.633 0.000
0.367 0.867 0.000
0.343 0.157 0.500
0.657 0.843 0.500
0.157 0.657 0.500
0.843 0.343 0.500
0.000 0.000 0.000
0.500 0.500 0.000
```

Results
space group	P4/mbm (127)
calculated density	11.34	g cm⁻³

=====

Pick version 2: it beats the second-best structure by 0.322 eV/atom.